## one
The following is a GGA-PBE calculation of crystalline NdNiOs at its relaxed geometry, from Alexandria.

Results
ρ, g/cm3: 10.73
Magnetization, μB per formula unit: 0.85

a = 4.1131 Å, b = 4.1131 Å, c = 4.1525 Å
α = 90.00°, β = 90.00°, γ = 120.00°
Closest atoms and distances in Å follow each position.
Space group P-6m2 (No. 187)
One atom of each set of equivalent atoms:
Nd: 0.0000 0.0000 0.0000 (multiplicity 1)  6 Os 3.15, 6 Ni 3.15
Ni: 0.3333 0.6667 0.5000 (multiplicity 1)  3 Os 2.37
Os: 0.6667 0.3333 0.5000 (multiplicity 1)  3 Ni 2.37

=====

## two
The following is a GGA-PBE calculation of crystalline NdNiOs at its relaxed geometry, from Alexandria.

Results
ρ, g/cm3: 12.23
Magnetization, μB per formula unit: 0.00

a = 5.1062 Å, b = 5.3995 Å, c = 7.7480 Å
α = 90.00°, β = 90.00°, γ = 90.00°
Closest atoms and distances in Å follow each position.
Space group Imma (No. 74)
One atom of each set of equivalent atoms:
Nd: 0.0000 0.2500 0.1212 (multiplicity 4)  6 Ni 3.04-3.23, 6 Os 3.15, 4 Nd 3.24-3.29
Ni: 0.0000 0.0000 0.5000 (multiplicity 4)  4 Os 2.68, 2 Ni 2.70
Os: 0.2500 0.2500 0.7500 (multiplicity 4)  2 Os 2.55, 4 Ni 2.68

=====

Which one sits at the bottom of the stability order? one does.

=====

## one
The following is a GGA-PBE calculation of crystalline Nd8Ni2Os at its relaxed geometry, from Alexandria.

Results
ρ, g/cm3: 7.54
Magnetization, μB per formula unit: 0.00

a = 8.4310 Å, b = 12.6334 Å, c = 6.4797 Å
α = 90.00°, β = 111.08°, γ = 90.00°
Closest atoms and distances in Å follow each position.
Space group Cm (No. 8)
One atom of each set of equivalent atoms:
Nd: 0.0000 0.0000 0.0000 (multiplicity 2)  2 Ni 3.02, 1 Os 3.18
Nd: 0.0734 0.3654 0.7948 (multiplicity 4)  2 Ni 2.82, 1 Os 3.08
Nd: 0.1402 0.1348 0.5572 (multiplicity 4)  2 Ni 2.85-2.88, 1 Os 2.95
Nd: 0.2098 0.5000 0.3844 (multiplicity 2)  1 Os 2.99, 2 Ni 3.04
Nd: 0.3500 0.1958 0.1823 (multiplicity 4)  1 Os 2.83
Ni: 0.3625 0.3150 0.6916 (multiplicity 4)  6 Nd 2.82-3.04
Os: 0.3582 0.0000 0.3966 (multiplicity 2)  7 Nd 2.83-3.08

=====

## two
The following is a GGA-PBE calculation of crystalline Nd8Ni2Os at its relaxed geometry, from Alexandria.

Results
ρ, g/cm3: 7.97
Magnetization, μB per formula unit: 0.00

a = 17.7615 Å, b = 5.1509 Å, c = 6.7919 Å
α = 90.00°, β = 101.40°, γ = 90.00°
Closest atoms and distances in Å follow each position.
Space group C2/m (No. 12)
One atom of each set of equivalent atoms:
Nd: 0.0402 0.0000 0.2923 (multiplicity 4)  1 Ni 2.93, 2 Os 3.09
Nd: 0.0865 0.5000 0.9308 (multiplicity 4)  1 Os 3.02
Nd: 0.1688 0.5000 0.4684 (multiplicity 4)  1 Ni 2.76, 1 Os 3.05
Nd: 0.2005 0.0000 0.8374 (multiplicity 4)  1 Ni 2.72
Ni: 0.1995 0.0000 0.2375 (multiplicity 4)  3 Nd 2.72-2.93
Os: 0.0000 0.5000 0.5000 (multiplicity 2)  8 Nd 3.02-3.09

=====

Which one sits at the bottom of the stability order? one does.

=====

## one
The following is a GGA-PBE calculation of crystalline NdNi3P2 at its relaxed geometry, from Alexandria.

Results
ρ, g/cm3: 7.38
Magnetization, μB per formula unit: 0.00

a = 14.3650 Å, b = 3.7926 Å, c = 6.9418 Å
α = 90.00°, β = 114.49°, γ = 90.00°
Closest atoms and distances in Å follow each position.
Space group C2/m (No. 12)
One atom of each set of equivalent atoms:
Nd: 0.1540 0.0000 0.0695 (multiplicity 4)  7 P 2.96-3.05, 8 Ni 3.08-3.30
Ni: 0.0417 0.0000 0.3676 (multiplicity 4)  3 P 2.24
Ni: 0.0947 0.5000 0.6767 (multiplicity 4)  3 P 2.24-2.32, 1 Ni 2.47
Ni: 0.1836 0.5000 0.4395 (multiplicity 4)  4 P 2.28-2.45, 1 Ni 2.47
P: 0.0202 0.5000 0.1831 (multiplicity 4)  4 Ni 2.24-2.28, 1 P 2.36
P: 0.1858 0.0000 0.6652 (multiplicity 4)  6 Ni 2.24-2.45

=====

## two
The following is a GGA-PBE calculation of crystalline NdNi3P2 at its relaxed geometry, from Alexandria.

Results
ρ, g/cm3: 7.46
Magnetization, μB per formula unit: 0.00

a = 15.2314 Å, b = 3.7868 Å, c = 9.2498 Å
α = 90.00°, β = 106.77°, γ = 90.00°
Closest atoms and distances in Å follow each position.
Space group C2/m (No. 12)
One atom of each set of equivalent atoms:
Nd: 0.0000 0.0000 0.0000 (multiplicity 2)  6 P 2.93-2.94, 6 Ni 3.03-3.04
Nd: 0.1535 0.0000 0.7016 (multiplicity 4)  6 P 2.91-2.99, 9 Ni 2.99-3.24
Ni: 0.0000 0.5000 0.5000 (multiplicity 2)  4 P 2.30-2.46
Ni: 0.0489 0.0000 0.3432 (multiplicity 4)  4 P 2.33-2.39, 1 Ni 2.49
Ni: 0.1323 0.5000 0.2113 (multiplicity 4)  3 P 2.19-2.39
Ni: 0.1752 0.5000 0.9700 (multiplicity 4)  4 P 2.32-2.44, 1 Ni 2.50
Ni: 0.2188 0.0000 0.3949 (multiplicity 4)  4 P 2.21-2.40
P: 0.0276 0.5000 0.7760 (multiplicity 4)  5 Ni 2.33-2.47
P: 0.1399 0.5000 0.4515 (multiplicity 4)  7 Ni 2.19-2.39
P: 0.2007 0.0000 0.1285 (multiplicity 4)  6 Ni 2.32-2.40

=====

Which one sits at the bottom of the stability order? one does.

=====

## one
The following is a GGA-PBE calculation of crystalline NdNi3P3 at its relaxed geometry, from Alexandria.

Results
ρ, g/cm3: 5.93
Magnetization, μB per formula unit: 0.00

a = 6.1406 Å, b = 6.1406 Å, c = 6.1406 Å
α = 90.00°, β = 90.00°, γ = 90.00°
Closest atoms and distances in Å follow each position.
Space group Pm-3n (No. 223)
One atom of each set of equivalent atoms:
Nd: 0.0000 0.0000 0.0000 (multiplicity 2)  12 Ni 3.43, 12 P 3.43
Ni: 0.0000 0.2500 0.5000 (multiplicity 6)  4 P 2.17
P: 0.0000 0.5000 0.2500 (multiplicity 6)  4 Ni 2.17

=====

## two
The following is a GGA-PBE calculation of crystalline NdNi3P3 at its relaxed geometry, from Alexandria.

Results
ρ, g/cm3: 5.66
Magnetization, μB per formula unit: 0.00

a = 6.4854 Å, b = 6.4854 Å, c = 19.9554 Å
α = 90.00°, β = 90.00°, γ = 120.00°
Closest atoms and distances in Å follow each position.
Space group R-3 (No. 148, hexagonal axes)
One atom of each set of equivalent atoms:
Nd: 0.0000 0.0000 0.1671 (multiplicity 6)  6 P 2.91
Ni: 0.0011 0.6647 0.3736 (multiplicity 18)  4 P 2.21-2.28
P: 0.0015 0.6755 0.5959 (multiplicity 18)  4 Ni 2.21-2.28

=====

Which one sits at the bottom of the stability order? one does.

=====

## one
The following is a GGA-PBE calculation of crystalline Nd4NiPb2 at its relaxed geometry, from Alexandria.

Results
ρ, g/cm3: 8.17
Magnetization, μB per formula unit: 0.00

a = 6.6452 Å, b = 6.8956 Å, c = 9.5970 Å
α = 90.00°, β = 103.94°, γ = 90.00°
Closest atoms and distances in Å follow each position.
Space group P2_1/m (No. 11)
One atom of each set of equivalent atoms:
Nd: 0.1857 0.2500 0.1007 (multiplicity 2)  1 Ni 2.68
Nd: 0.2731 0.7500 0.3908 (multiplicity 2)  1 Ni 2.64
Nd: 0.2903 0.0011 0.7567 (multiplicity 4)  1 Ni 2.79
Ni: 0.4610 0.2500 0.3562 (multiplicity 2)  1 Pb 2.60, 4 Nd 2.64-2.79
Pb: 0.1214 0.2500 0.4459 (multiplicity 2)  1 Ni 2.60
Pb: 0.3113 0.7500 0.0553 (multiplicity 2)  8 Nd 3.28-3.60

=====

## two
The following is a GGA-PBE calculation of crystalline Nd4NiPb2 at its relaxed geometry, from Alexandria.

Results
ρ, g/cm3: 7.79
Magnetization, μB per formula unit: 0.00

a = 5.0801 Å, b = 5.0801 Å, c = 17.3531 Å
α = 90.00°, β = 90.00°, γ = 90.00°
Closest atoms and distances in Å follow each position.
Space group I4/mmm (No. 139)
One atom of each set of equivalent atoms:
Nd: 0.0000 0.0000 0.1757 (multiplicity 4)  1 Ni 3.05, 1 Pb 3.23
Nd: 0.0000 0.5000 0.0000 (multiplicity 4)  2 Ni 2.54
Ni: 0.0000 0.0000 0.0000 (multiplicity 2)  4 Nd 2.54
Pb: 0.0000 0.0000 0.3618 (multiplicity 4)  5 Nd 3.23-3.49

=====

Which one sits at the bottom of the stability order? two does.